P.
An optimized crystal structure of CrFe2Te. Source: Alexandria via LeMat-Bulk, functional PBE.

The structure in POSCAR format:
```
CrFe2Te
1.0
-3.169 -0.646 -0.681
0.910 -1.512 -2.800
1.300 -6.264 -0.107
Fe Cr Te
2 1 1
direct
0.500 0.283 0.217
0.000 0.989 0.011
0.500 0.739 0.761
0.000 0.489 0.511
```


Q.
An optimized crystal structure of CrFe2Te. Source: Alexandria via LeMat-Bulk, functional PBE.

The structure in POSCAR format:
```
CrFe2Te
1.0
-3.150 -1.807 -2.139
-3.991 0.611 1.209
-2.577 2.363 -2.354
Te Cr Fe
1 1 2
direct
0.500 0.500 0.500
0.000 0.000 0.000
0.750 0.750 0.750
0.250 0.250 0.250
```


R.
An optimized crystal structure of CrFe2Te. Source: Alexandria via LeMat-Bulk, functional PBE.

The structure in POSCAR format:
```
CrFe2Te
1.0
-1.374 1.594 -3.788
-0.225 -2.774 -1.086
-4.391 -0.033 1.578
Fe Te Cr
2 1 1
direct
0.000 0.445 0.542
0.000 0.055 0.958
0.500 0.250 0.250
0.500 0.750 0.750
```


List of relative energies, unit kJ/mol of atoms: P 4.1; Q 0.0; R 18.0